(1)
The following is a SCAN calculation of a PBEsol-optimized structure of Na2Ge2O5, from Alexandria.

a = 6.605 Å, b = 4.992 Å, c = 16.174 Å
α = 90.00°, β = 90.00°, γ = 90.00°
Positions (direct):
Na  0.102  0.231  0.057
Na  0.102  0.769  0.557
Na  0.398  0.269  0.557
Na  0.398  0.731  0.057
Na  0.602  0.269  0.943
Na  0.602  0.731  0.443
Na  0.898  0.231  0.443
Na  0.898  0.769  0.943
Ge  0.101  0.303  0.845
Ge  0.101  0.697  0.345
Ge  0.399  0.197  0.345
Ge  0.399  0.803  0.845
Ge  0.601  0.197  0.155
Ge  0.601  0.803  0.655
Ge  0.899  0.303  0.655
Ge  0.899  0.697  0.155
O  0.000  0.199  0.750
O  0.000  0.801  0.250
O  0.054  0.237  0.572
O  0.054  0.763  0.072
O  0.154  0.346  0.350
O  0.154  0.654  0.850
O  0.346  0.154  0.850
O  0.346  0.846  0.350
O  0.446  0.263  0.072
O  0.446  0.737  0.572
O  0.500  0.301  0.250
O  0.500  0.699  0.750
O  0.554  0.263  0.428
O  0.554  0.737  0.928
O  0.654  0.154  0.650
O  0.654  0.846  0.150
O  0.846  0.346  0.150
O  0.846  0.654  0.650
O  0.946  0.237  0.928
O  0.946  0.763  0.428

volume	533.3	Å³ per cell
distance to the lowest polymorph of the same formula	0.32	kcal/mol of atoms
N(E_F)	0.0	states/eV/cell
uncorrected formation energy	-1.878	eV per atom

---

(2)
The following is a SCAN calculation of a PBEsol-optimized structure of NaGeO2, from Alexandria.

a = 6.309 Å, b = 6.309 Å, c = 6.309 Å
α = 31.65°, β = 31.65°, γ = 31.65°
Positions (direct):
Na  0.000  0.000  0.000
Ge  0.500  0.500  0.500
O  0.406  0.406  0.406
O  0.594  0.594  0.594

volume	61.4	Å³ per cell
N(E_F)	1.6	states/eV/cell
uncorrected formation energy	-1.100	eV per atom

---

(3)
The following is a SCAN calculation of a PBEsol-optimized structure of NaGeO2, from Alexandria.

a = 6.914 Å, b = 6.914 Å, c = 6.914 Å
α = 25.70°, β = 25.70°, γ = 25.70°
Positions (direct):
Na  0.000  0.000  0.000
Ge  0.500  0.500  0.500
O  0.118  0.118  0.118
O  0.882  0.882  0.882

volume	54.7	Å³ per cell
N(E_F)	1.5	states/eV/cell
uncorrected formation energy	-1.108	eV per atom

---

(4)
The following is a SCAN calculation of a PBEsol-optimized structure of Na2Ge2O5, from Alexandria.

a = 8.448 Å, b = 12.246 Å, c = 4.898 Å
α = 90.00°, β = 90.00°, γ = 90.00°
Positions (direct):
Na  0.071  0.232  0.000
Na  0.186  0.695  0.968
Na  0.314  0.195  0.468
Na  0.429  0.732  0.500
Na  0.571  0.268  0.000
Na  0.686  0.805  0.968
Na  0.814  0.305  0.468
Na  0.929  0.768  0.500
Ge  0.049  0.928  0.054
Ge  0.111  0.526  0.423
Ge  0.389  0.026  0.923
Ge  0.451  0.428  0.554
Ge  0.549  0.572  0.054
Ge  0.611  0.974  0.423
Ge  0.889  0.474  0.923
Ge  0.951  0.072  0.554
O  0.029  0.950  0.414
O  0.039  0.194  0.480
O  0.074  0.517  0.062
O  0.166  0.657  0.491
O  0.244  0.416  0.489
O  0.256  0.916  0.989
O  0.334  0.157  0.991
O  0.426  0.017  0.562
O  0.461  0.694  0.980
O  0.471  0.450  0.914
O  0.529  0.550  0.414
O  0.539  0.306  0.480
O  0.574  0.983  0.062
O  0.666  0.843  0.491
O  0.744  0.084  0.489
O  0.756  0.584  0.989
O  0.834  0.343  0.991
O  0.926  0.483  0.562
O  0.961  0.806  0.980
O  0.971  0.050  0.914

volume	506.7	Å³ per cell
distance to the lowest polymorph of the same formula	0.01	kcal/mol of atoms
N(E_F)	0.0	states/eV/cell
uncorrected formation energy	-1.891	eV per atom

---

(5)
The following is a SCAN calculation of a PBEsol-optimized structure of Na2Ge2O5, from Alexandria.

a = 4.941 Å, b = 12.353 Å, c = 9.905 Å
α = 90.00°, β = 119.15°, γ = 90.00°
Positions (direct):
Na  0.107  0.003  0.366
Na  0.107  0.497  0.866
Na  0.385  0.044  0.115
Na  0.385  0.456  0.615
Na  0.615  0.544  0.385
Na  0.615  0.956  0.885
Na  0.893  0.503  0.134
Na  0.893  0.997  0.634
Ge  0.149  0.702  0.455
Ge  0.149  0.798  0.955
Ge  0.477  0.175  0.674
Ge  0.477  0.325  0.174
Ge  0.523  0.675  0.826
Ge  0.523  0.825  0.326
Ge  0.851  0.202  0.045
Ge  0.851  0.298  0.545
O  0.146  0.572  0.394
O  0.146  0.928  0.894
O  0.187  0.690  0.848
O  0.187  0.810  0.348
O  0.211  0.227  0.047
O  0.211  0.273  0.547
O  0.376  0.041  0.641
O  0.376  0.459  0.141
O  0.443  0.730  0.646
O  0.443  0.770  0.146
O  0.557  0.230  0.854
O  0.557  0.270  0.354
O  0.624  0.541  0.859
O  0.624  0.959  0.359
O  0.789  0.727  0.453
O  0.789  0.773  0.953
O  0.813  0.190  0.652
O  0.813  0.310  0.152
O  0.854  0.072  0.106
O  0.854  0.428  0.606

volume	528.0	Å³ per cell
distance to the lowest polymorph of the same formula	0.38	kcal/mol of atoms
N(E_F)	0.0	states/eV/cell
uncorrected formation energy	-1.875	eV per atom

---

(6)
The following is a SCAN calculation of a PBEsol-optimized structure of Na2PrGeO5, from Alexandria.

a = 9.497 Å, b = 7.573 Å, c = 6.750 Å
α = 90.00°, β = 90.00°, γ = 90.00°
Positions (direct):
Na  0.190  0.035  0.114
Na  0.190  0.465  0.114
Na  0.310  0.535  0.614
Na  0.310  0.965  0.614
Na  0.690  0.035  0.386
Na  0.690  0.465  0.386
Na  0.810  0.535  0.886
Na  0.810  0.965  0.886
Pr  0.039  0.250  0.630
Pr  0.461  0.750  0.130
Pr  0.539  0.250  0.870
Pr  0.961  0.750  0.370
Ge  0.084  0.750  0.823
Ge  0.416  0.250  0.323
Ge  0.584  0.750  0.677
Ge  0.916  0.250  0.177
O  0.040  0.250  0.986
O  0.061  0.568  0.664
O  0.061  0.932  0.664
O  0.215  0.750  0.261
O  0.240  0.250  0.408
O  0.260  0.750  0.908
O  0.285  0.250  0.761
O  0.439  0.068  0.164
O  0.439  0.432  0.164
O  0.460  0.750  0.486
O  0.540  0.250  0.514
O  0.561  0.568  0.836
O  0.561  0.932  0.836
O  0.715  0.750  0.239
O  0.740  0.250  0.092
O  0.760  0.750  0.592
O  0.785  0.250  0.739
O  0.939  0.068  0.336
O  0.939  0.432  0.336
O  0.960  0.750  0.014

volume	485.5	Å³ per cell
uncorrected formation energy	-2.257	eV per atom